Record 1
The following is a DFT calculation (PBE) of crystalline Ce2SmRu2 at its relaxed geometry.

Results
Calculated volume: 23.315 Å³ per atom
Excess energy over the best structure of this formula in the dataset: 0 meV per atom

The structure in CIF format:
```
data_Ce2SmRu2
_chemical_formula_sum 'Ce8 Sm4 Ru8'
_symmetry_space_group_name_H-M 'C 1 2/m 1'
_symmetry_Int_Tables_number 12
_symmetry_space_group_name_Hall '-C 2y'
_cell_length_a 11.467
_cell_length_b 4.328
_cell_length_c 10.169
_cell_angle_alpha 90.00
_cell_angle_beta 112.51
_cell_angle_gamma 90.00
loop_
_atom_site_label
_atom_site_fract_x
_atom_site_fract_y
_atom_site_fract_z
Ce1 0.031 0.000 0.203
Ce2 0.167 0.000 0.576
Sm1 0.201 0.500 0.861
Ru1 0.062 0.500 0.395
Ru2 0.118 0.500 0.124
```

***

Record 2
The following is a DFT calculation (PBE) of crystalline Sr2HgGe at its relaxed geometry.

Results
Calculated volume: 41.954 Å³ per atom

The structure in CIF format:
```
data_Sr2HgGe
_chemical_formula_sum 'Sr8 Hg4 Ge4'
_symmetry_space_group_name_H-M 'I -4 2 d'
_symmetry_Int_Tables_number 122
_symmetry_space_group_name_Hall 'I -4 2bw'
_cell_length_a 5.998
_cell_length_b 5.998
_cell_length_c 18.657
_cell_angle_alpha 90.00
_cell_angle_beta 90.00
_cell_angle_gamma 90.00
loop_
_atom_site_label
_atom_site_fract_x
_atom_site_fract_y
_atom_site_fract_z
Sr1 0.224 0.250 0.125
Hg1 0.000 0.000 0.500
Ge1 0.000 0.000 0.000
```

***

Formation enthalpy at 0 K for every record listed, in sequence, given in eV per atom: -0.242; -0.038.